# 1
This record from Alexandria via LeMat-Bulk describes an optimized crystal structure of Pm12PrCo6. The functional is PBE-GGA.

For the density of states at the Fermi level, the calculation gives 34.17 states/eV/cell. The final energy comes out at -5.561 eV/atom. The calculation puts the formation energy at -0.06 eV per atom.

It has space group Im-3 (No. 204), with a = 10.039 Å, b = 10.039 Å, c = 10.039 Å, α = 90.00°, β = 90.00° and γ = 90.00°. The inequivalent atoms are Pm at (0.000, 0.195, 0.311), Pr at (0.000, 0.000, 0.000) and Co at (0.000, 0.389, 0.500).

# 2
This record from Alexandria via LeMat-Bulk describes an optimized crystal structure of Mg8In5Pb. The functional is PBE-GGA.

For the density of states at the Fermi level, the calculation gives 15.17 states/eV/cell. The final energy comes out at -2.170 eV/atom. The calculation puts the formation energy at -0.02 eV per atom.

It has space group I-4 (No. 82), with a = 8.780 Å, b = 8.780 Å, c = 9.038 Å, α = 90.00°, β = 90.00° and γ = 90.00°. The inequivalent atoms are Mg at (0.070, 0.173, 0.162), Mg at (0.093, 0.330, 0.506), In at (0.000, 0.500, 0.250), In at (0.117, 0.276, 0.831) and Pb at (0.000, 0.000, 0.500).

# 3
This record from Alexandria via LeMat-Bulk describes an optimized crystal structure of Re3SnIr. The functional is PBE-GGA.

For the density of states at the Fermi level, the calculation gives 6.76 states/eV/cell. Its energy above the lowest structure with this stoichiometry is 0.0 meV per atom. The final energy comes out at -8.009 eV/atom. The calculation puts the formation energy at 2.03 eV per atom.

It has space group Pm-3m (No. 221), with a = 4.760 Å, b = 4.760 Å, c = 4.760 Å, α = 90.00°, β = 90.00° and γ = 90.00°. The inequivalent atoms are Re at (0.000, 0.000, 0.500), Sn at (0.500, 0.500, 0.500) and Ir at (0.000, 0.000, 0.000).

# 4
This record from Alexandria via LeMat-Bulk describes an optimized crystal structure of FeRuRh4. The functional is PBE-GGA.

For the density of states at the Fermi level, the calculation gives 13.00 states/eV/cell. Its energy above the lowest structure with this stoichiometry is 425.2 meV per atom. The final energy comes out at -7.411 eV/atom. The calculation puts the formation energy at 0.45 eV per atom.

It has space group C2/m (No. 12), with a = 7.022 Å, b = 4.062 Å, c = 7.185 Å, α = 90.00°, β = 108.98° and γ = 90.00°. The inequivalent atoms are Fe at (0.000, 0.000, 0.000), Ru at (0.000, 0.500, 0.500), Rh at (0.121, 0.000, 0.365) and Rh at (0.125, 0.500, 0.876).

| no. | magnetic moment (μB per atom) |
| --- | --- |
| 1 | 0.0001 |
| 2 | 0.0000 |
| 3 | 0.3415 |
| 4 | 0.6751 |